Ga2MoSe: optimized geometry, GGA-PBE.

M_tot   0.000 μB per formula unit
Offset from the most stable computed form   0.1666 eV/atom
E_form (uncorrected)   2.2 eV/f.u.
SG   Fm-3m (225)
E   -4.5413 eV per atom

Unit cell a=4.6129 b=4.6129 c=4.6129 alpha=60.00 beta=60.00 gamma=60.00
Atoms (fractional coordinates):
Ga (0.7500, 0.7500, 0.7500)
Mo (0.5000, 0.5000, 0.5000)
Se (0.0000, 0.0000, 0.0000)
Ga (0.2500, 0.2500, 0.2500)

---

Y12Er2Th: optimized geometry, GGA-PBE.

M_tot   0.000 μB per formula unit
SG   Pmmm (47)
E   -5.9460 eV per atom
Formation enthalpy at 0 K   4.9 eV/f.u.

Unit cell a=6.7906 b=6.7906 c=26.2706 alpha=90.00 beta=90.00 gamma=120.10
Atoms (fractional coordinates):
Y (0.7501, 0.7499, 0.0696)
Y (0.2499, 0.2501, 0.5622)
Y (0.5000, 0.5000, 0.1889)
Er (0.0000, 0.5000, 0.6337)
Y (0.0000, 0.0000, 0.6765)
Y (0.0000, 0.0000, 0.1889)
Y (0.7500, 0.2500, 0.7496)
Y (0.0000, 0.0000, 0.8111)
Y (0.7500, 0.2500, 0.8835)
Er (0.5000, 0.0000, 0.3663)
Y (0.5000, 0.5000, 0.3235)
Y (0.7500, 0.2500, 0.2504)
Y (0.2500, 0.7500, 0.2504)
Th (0.5000, 0.0000, 0.0000)
Th (0.0000, 0.5000, 0.0000)
Y (0.2501, 0.2499, 0.9304)
Y (0.7501, 0.7499, 0.5622)
Y (0.2499, 0.2501, 0.0696)
Y (0.5000, 0.5000, 0.8111)
Y (0.2500, 0.7500, 0.8835)
Y (0.5000, 0.5000, 0.6765)
Er (0.0000, 0.5000, 0.3664)
Y (0.7499, 0.7501, 0.4378)
Y (0.2500, 0.7500, 0.7496)
Y (0.7499, 0.7501, 0.9304)
Er (0.5000, 0.0000, 0.6336)
Y (0.0000, 0.0000, 0.3235)
Y (0.2501, 0.2499, 0.4378)
Y (0.2500, 0.7500, 0.1165)
Y (0.7500, 0.2500, 0.1165)

---

- Which of these has the highest E?
  Ga2MoSe

---

Please write out number 1 again, unchanged.
Ga2MoSe: optimized geometry, GGA-PBE.

M_tot   0.000 μB per formula unit
Offset from the most stable computed form   0.1666 eV/atom
E_form (uncorrected)   2.2 eV/f.u.
SG   Fm-3m (225)
E   -4.5413 eV per atom

Unit cell a=4.6129 b=4.6129 c=4.6129 alpha=60.00 beta=60.00 gamma=60.00
Atoms (fractional coordinates):
Ga (0.7500, 0.7500, 0.7500)
Mo (0.5000, 0.5000, 0.5000)
Se (0.0000, 0.0000, 0.0000)
Ga (0.2500, 0.2500, 0.2500)

---

- Among the records above, which one has the highest E?
  Ga2MoSe